This record from the Alexandria database describes a relaxed LuScZnHg crystal. The functional is PBE.

Lattice parameters (Å, degrees): 4.969 4.969 4.969 60.00 60.00 60.00
Atoms (fractional coordinates):
Lu  0.500  0.500  0.500
Zn  0.250  0.250  0.250
Sc  0.000  0.000  0.000
Hg  0.750  0.750  0.750

Fermi-level density of states: 3.4 states/eV/f.u.
Space group: F-43m (216)
Uncorrected energy: -3.49 eV per atom
M_tot: 0.0 μB/cell